Record 1
Crystalline Pm5Sm3H12 at its relaxed geometry. Source: the Alexandria database, functional PBE.

Geometry as CIF:
```
data_Pm5Sm3H12
_cell_length_a 13.498
_cell_length_b 13.498
_cell_length_c 13.498
_cell_angle_alpha 90.00
_cell_angle_beta 90.00
_cell_angle_gamma 90.00
_space_group_name_H-M_alt 'I a -3 d'
_space_group_IT_number 230
_space_group_name_Hall '-I 4bd 2c 3'
loop_
_atom_site_label
_atom_site_type_symbol
_atom_site_fract_x
_atom_site_fract_y
_atom_site_fract_z
Pm1 Pm 0.000 0.000 0.000
Pm2 Pm 0.000 0.250 0.375
Sm1 Sm 0.000 0.250 0.125
H1 H 0.002 0.070 0.656
```

Output
E_tot ... -4.3481 eV per atom
DOS(E_F) ... 117.39 states/eV/cell



Record 2
Crystalline PmSmH at its relaxed geometry. Source: the Alexandria database, functional PBE.

Geometry as CIF:
```
data_PmSmH
_cell_length_a 3.7203
_cell_length_b 3.7203
_cell_length_c 5.7857
_cell_angle_alpha 90.00
_cell_angle_beta 90.00
_cell_angle_gamma 120.00
_space_group_name_H-M_alt 'P 3 m 1'
_space_group_IT_number 156
loop_
_space_group_symop_operation_xyz
'x,y,z'
'-y,x-y,z'
'-x+y,-x,z'
'-y,-x,z'
'-x+y,y,z'
'x,x-y,z'
loop_
_atom_site_label
_atom_site_type_symbol
_atom_site_fract_x
_atom_site_fract_y
_atom_site_fract_z
Pm1 Pm 0.0000 0.0000 0.0000
Sm1 Sm 0.6667 0.3333 0.5197
H1 H 0.3333 0.6667 0.7575
```

Output
E_tot ... -4.4904 eV per atom
DOS(E_F) ... 2.79 states/eV/cell



Record 3
Crystalline Pm4Sm2Sn3H2 at its relaxed geometry. Source: the Alexandria database, functional PBE.

Geometry as CIF:
```
data_Pm4Sm2Sn3H2
_cell_length_a 4.773
_cell_length_b 4.773
_cell_length_c 25.632
_cell_angle_alpha 90.00
_cell_angle_beta 90.00
_cell_angle_gamma 90.00
_space_group_name_H-M_alt 'I 4/m m m'
_space_group_IT_number 139
_space_group_name_Hall '-I 4 2'
loop_
_atom_site_label
_atom_site_type_symbol
_atom_site_fract_x
_atom_site_fract_y
_atom_site_fract_z
Pm1 Pm 0.000 0.500 0.083
Sm1 Sm 0.000 0.000 0.199
Sn1 Sn 0.000 0.000 0.325
Sn2 Sn 0.000 0.000 0.500
H1 H 0.000 0.000 0.104
```

Output
E_tot ... -4.8450 eV per atom
DOS(E_F) ... 21.46 states/eV/cell



Record 4
Crystalline PmSmTlH at its relaxed geometry. Source: the Alexandria database, functional PBE.

Geometry as CIF:
```
data_PmSmTlH
_cell_length_a 3.874
_cell_length_b 3.886
_cell_length_c 12.715
_cell_angle_alpha 90.00
_cell_angle_beta 90.00
_cell_angle_gamma 90.00
_space_group_name_H-M_alt 'I m m 2'
_space_group_IT_number 44
loop_
_space_group_symop_operation_xyz
'x,y,z'
'-x,-y,z'
'-x,y,z'
'x,-y,z'
'x+1/2,y+1/2,z+1/2'
'-x+1/2,-y+1/2,z+1/2'
'-x+1/2,y+1/2,z+1/2'
'x+1/2,-y+1/2,z+1/2'
loop_
_atom_site_label
_atom_site_type_symbol
_atom_site_fract_x
_atom_site_fract_y
_atom_site_fract_z
Pm1 Pm 0.000 0.000 0.000
Sm1 Sm 0.000 0.000 0.306
Tl1 Tl 0.000 0.000 0.654
H1 H 0.000 0.500 0.902
```

Output
E_tot ... -4.2453 eV per atom
DOS(E_F) ... 5.75 states/eV/cell



Record 5
Crystalline Pm2Sm4Tl3H2 at its relaxed geometry. Source: the Alexandria database, functional PBE.

Geometry as CIF:
```
data_Pm2Sm4Tl3H2
_cell_length_a 4.849
_cell_length_b 4.849
_cell_length_c 25.133
_cell_angle_alpha 90.00
_cell_angle_beta 90.00
_cell_angle_gamma 90.00
_space_group_name_H-M_alt 'I 4/m m m'
_space_group_IT_number 139
_space_group_name_Hall '-I 4 2'
loop_
_atom_site_label
_atom_site_type_symbol
_atom_site_fract_x
_atom_site_fract_y
_atom_site_fract_z
Pm1 Pm 0.000 0.000 0.199
Sm1 Sm 0.000 0.500 0.084
Tl1 Tl 0.000 0.000 0.327
Tl2 Tl 0.000 0.000 0.500
H1 H 0.000 0.000 0.103
```

Output
E_tot ... -4.1312 eV per atom
DOS(E_F) ... 19.03 states/eV/cell



Record 6
Crystalline PmSm2YH at its relaxed geometry. Source: the Alexandria database, functional PBE.

Geometry as CIF:
```
data_PmSm2YH
_cell_length_a 5.094
_cell_length_b 5.094
_cell_length_c 5.075
_cell_angle_alpha 90.00
_cell_angle_beta 90.00
_cell_angle_gamma 90.00
_space_group_name_H-M_alt 'P 4/m m m'
_space_group_IT_number 123
_space_group_name_Hall '-P 4 2'
loop_
_atom_site_label
_atom_site_type_symbol
_atom_site_fract_x
_atom_site_fract_y
_atom_site_fract_z
Pm1 Pm 0.000 0.000 0.000
Sm1 Sm 0.000 0.500 0.500
Y1 Y 0.500 0.500 0.000
H1 H 0.500 0.500 0.500
```

Output
E_tot ... -4.9739 eV per atom
DOS(E_F) ... 4.62 states/eV/cell



Record 7
Crystalline Pm2Sn2H at its relaxed geometry. Source: the Alexandria database, functional PBE.

Geometry as CIF:
```
data_Pm2Sn2H
_cell_length_a 6.187
_cell_length_b 12.839
_cell_length_c 6.156
_cell_angle_alpha 90.00
_cell_angle_beta 90.00
_cell_angle_gamma 90.00
_space_group_name_H-M_alt 'I b a m'
_space_group_IT_number 72
_space_group_name_Hall '-I 2 2c'
loop_
_atom_site_label
_atom_site_type_symbol
_atom_site_fract_x
_atom_site_fract_y
_atom_site_fract_z
Pm1 Pm 0.235 0.076 0.000
Sn1 Sn 0.217 0.321 0.000
H1 H 0.000 0.000 0.250
```

Output
E_tot ... -4.6667 eV per atom
DOS(E_F) ... 15.25 states/eV/cell



Record 8
Crystalline Pm5Sn5H at its relaxed geometry. Source: the Alexandria database, functional PBE.

Geometry as CIF:
```
data_Pm5Sn5H
_cell_length_a 16.377
_cell_length_b 4.751
_cell_length_c 8.065
_cell_angle_alpha 90.00
_cell_angle_beta 91.96
_cell_angle_gamma 90.00
_space_group_name_H-M_alt 'C 1 2/m 1'
_space_group_IT_number 12
loop_
_space_group_symop_operation_xyz
'x,y,z'
'-x,-y,-z'
'-x,y,-z'
'x,-y,z'
'x+1/2,y+1/2,z'
'-x+1/2,-y+1/2,-z'
'-x+1/2,y+1/2,-z'
'x+1/2,-y+1/2,z'
loop_
_atom_site_label
_atom_site_type_symbol
_atom_site_fract_x
_atom_site_fract_y
_atom_site_fract_z
Pm1 Pm 0.000 0.000 0.000
Pm2 Pm 0.122 0.500 0.186
Pm3 Pm 0.184 0.500 0.679
Sn1 Sn 0.000 0.500 0.500
Sn2 Sn 0.126 0.000 0.435
Sn3 Sn 0.192 0.000 0.946
H1 H 0.000 0.500 0.000
```

Output
E_tot ... -4.7826 eV per atom
DOS(E_F) ... 11.19 states/eV/cell



Record 9
Crystalline Pm7Sn4H at its relaxed geometry. Source: the Alexandria database, functional PBE.

Geometry as CIF:
```
data_Pm7Sn4H
_cell_length_a 16.460
_cell_length_b 5.177
_cell_length_c 11.164
_cell_angle_alpha 90.00
_cell_angle_beta 128.92
_cell_angle_gamma 90.00
_space_group_name_H-M_alt 'C 1 2/m 1'
_space_group_IT_number 12
loop_
_space_group_symop_operation_xyz
'x,y,z'
'-x,-y,-z'
'-x,y,-z'
'x,-y,z'
'x+1/2,y+1/2,z'
'-x+1/2,-y+1/2,-z'
'-x+1/2,y+1/2,-z'
'x+1/2,-y+1/2,z'
loop_
_atom_site_label
_atom_site_type_symbol
_atom_site_fract_x
_atom_site_fract_y
_atom_site_fract_z
Pm1 Pm 0.000 0.000 0.000
Pm2 Pm 0.070 0.500 0.267
Pm3 Pm 0.138 0.000 0.556
Pm4 Pm 0.213 0.500 0.855
Sn1 Sn 0.079 0.000 0.790
Sn2 Sn 0.219 0.000 0.348
H1 H 0.000 0.500 0.000
```

Output
E_tot ... -4.8959 eV per atom
DOS(E_F) ... 19.63 states/eV/cell



Record 10
Crystalline Pm4Sn5H2 at its relaxed geometry. Source: the Alexandria database, functional PBE.

Geometry as CIF:
```
data_Pm4Sn5H2
_cell_length_a 3.487
_cell_length_b 8.431
_cell_length_c 18.465
_cell_angle_alpha 90.00
_cell_angle_beta 90.00
_cell_angle_gamma 90.00
_space_group_name_H-M_alt 'I m m m'
_space_group_IT_number 71
_space_group_name_Hall '-I 2 2'
loop_
_atom_site_label
_atom_site_type_symbol
_atom_site_fract_x
_atom_site_fract_y
_atom_site_fract_z
Pm1 Pm 0.000 0.000 0.179
Pm2 Pm 0.000 0.316 0.500
Sn1 Sn 0.000 0.174 0.338
Sn2 Sn 0.000 0.500 0.000
H1 H 0.000 0.000 0.055
```

Output
E_tot ... -4.5003 eV per atom
DOS(E_F) ... 15.95 states/eV/cell



Record 11
Crystalline Pm7Sn3H2 at its relaxed geometry. Source: the Alexandria database, functional PBE.

Geometry as CIF:
```
data_Pm7Sn3H2
_cell_length_a 4.965
_cell_length_b 25.627
_cell_length_c 4.691
_cell_angle_alpha 90.00
_cell_angle_beta 90.00
_cell_angle_gamma 90.00
_space_group_name_H-M_alt 'C m m m'
_space_group_IT_number 65
_space_group_name_Hall '-C 2 2'
loop_
_atom_site_label
_atom_site_type_symbol
_atom_site_fract_x
_atom_site_fract_y
_atom_site_fract_z
Pm1 Pm 0.000 0.000 0.000
Pm2 Pm 0.000 0.096 0.500
Pm3 Pm 0.000 0.205 0.000
Pm4 Pm 0.000 0.396 0.000
Sn1 Sn 0.000 0.306 0.500
Sn2 Sn 0.000 0.500 0.500
H1 H 0.000 0.102 0.000
```

Output
E_tot ... -4.8569 eV per atom
DOS(E_F) ... 23.71 states/eV/cell



Record 12
Crystalline Pm6Sn3H2 at its relaxed geometry. Source: the Alexandria database, functional PBE.

Geometry as CIF:
```
data_Pm6Sn3H2
_cell_length_a 4.781
_cell_length_b 4.781
_cell_length_c 25.673
_cell_angle_alpha 90.00
_cell_angle_beta 90.00
_cell_angle_gamma 90.00
_space_group_name_H-M_alt 'I 4/m m m'
_space_group_IT_number 139
_space_group_name_Hall '-I 4 2'
loop_
_atom_site_label
_atom_site_type_symbol
_atom_site_fract_x
_atom_site_fract_y
_atom_site_fract_z
Pm1 Pm 0.000 0.000 0.199
Pm2 Pm 0.000 0.500 0.083
Sn1 Sn 0.000 0.000 0.325
Sn2 Sn 0.000 0.000 0.500
H1 H 0.000 0.000 0.103
```

Output
E_tot ... -4.8561 eV per atom
DOS(E_F) ... 21.73 states/eV/cell



Record 13
Crystalline Pm8Sn5H at its relaxed geometry. Source: the Alexandria database, functional PBE.

Geometry as CIF:
```
data_Pm8Sn5H
_cell_length_a 9.209
_cell_length_b 9.209
_cell_length_c 9.812
_cell_angle_alpha 90.00
_cell_angle_beta 90.00
_cell_angle_gamma 90.00
_space_group_name_H-M_alt 'I -4'
_space_group_IT_number 82
loop_
_space_group_symop_operation_xyz
'x,y,z'
'y,-x,-z'
'-x,-y,z'
'-y,x,-z'
'x+1/2,y+1/2,z+1/2'
'y+1/2,-x+1/2,-z+1/2'
'-x+1/2,-y+1/2,z+1/2'
'-y+1/2,x+1/2,-z+1/2'
loop_
_atom_site_label
_atom_site_type_symbol
_atom_site_fract_x
_atom_site_fract_y
_atom_site_fract_z
Pm1 Pm 0.062 0.290 0.040
Pm2 Pm 0.081 0.185 0.673
Sn1 Sn 0.000 0.500 0.750
Sn2 Sn 0.122 0.255 0.363
H1 H 0.000 0.000 0.000
```

Output
E_tot ... -4.9545 eV per atom
DOS(E_F) ... 24.10 states/eV/cell



Record 14
Crystalline Pm4Sn3H at its relaxed geometry. Source: the Alexandria database, functional PBE.

Geometry as CIF:
```
data_Pm4Sn3H
_cell_length_a 6.527
_cell_length_b 10.566
_cell_length_c 6.345
_cell_angle_alpha 90.00
_cell_angle_beta 90.00
_cell_angle_gamma 90.00
_space_group_name_H-M_alt 'I m m 2'
_space_group_IT_number 44
loop_
_space_group_symop_operation_xyz
'x,y,z'
'-x,-y,z'
'-x,y,z'
'x,-y,z'
'x+1/2,y+1/2,z+1/2'
'-x+1/2,-y+1/2,z+1/2'
'-x+1/2,y+1/2,z+1/2'
'x+1/2,-y+1/2,z+1/2'
loop_
_atom_site_label
_atom_site_type_symbol
_atom_site_fract_x
_atom_site_fract_y
_atom_site_fract_z
Pm1 Pm 0.000 0.202 0.000
Pm2 Pm 0.240 0.500 0.150
Sn1 Sn 0.000 0.255 0.474
Sn2 Sn 0.000 0.500 0.695
H1 H 0.000 0.000 0.889
```

Output
E_tot ... -4.7877 eV per atom
DOS(E_F) ... 10.64 states/eV/cell



Record 15
Crystalline Pm5Sn3H at its relaxed geometry. Source: the Alexandria database, functional PBE.

Geometry as CIF:
```
data_Pm5Sn3H
_cell_length_a 9.2413
_cell_length_b 9.2413
_cell_length_c 6.6226
_cell_angle_alpha 90.00
_cell_angle_beta 90.00
_cell_angle_gamma 120.00
_space_group_name_H-M_alt 'P 63/m c m'
_space_group_IT_number 193
_space_group_name_Hall '-P 6c 2'
loop_
_atom_site_label
_atom_site_type_symbol
_atom_site_fract_x
_atom_site_fract_y
_atom_site_fract_z
Pm1 Pm 0.0000 0.2454 0.2500
Pm2 Pm 0.3333 0.6667 0.0000
Sn1 Sn 0.0000 0.3906 0.7500
H1 H 0.0000 0.0000 0.0000
```

Output
E_tot ... -5.0662 eV per atom
DOS(E_F) ... 11.87 states/eV/cell



Record 16
Crystalline Pm2SnH2 at its relaxed geometry. Source: the Alexandria database, functional PBE.

Geometry as CIF:
```
data_Pm2SnH2
_cell_length_a 4.104
_cell_length_b 4.104
_cell_length_c 11.071
_cell_angle_alpha 90.00
_cell_angle_beta 90.00
_cell_angle_gamma 90.00
_space_group_name_H-M_alt 'I 4/m m m'
_space_group_IT_number 139
_space_group_name_Hall '-I 4 2'
loop_
_atom_site_label
_atom_site_type_symbol
_atom_site_fract_x
_atom_site_fract_y
_atom_site_fract_z
Pm1 Pm 0.000 0.000 0.152
Sn1 Sn 0.000 0.000 0.500
H1 H 0.000 0.500 0.250
```

Output
E_tot ... -4.7624 eV per atom
DOS(E_F) ... 1.59 states/eV/cell



Record 17
Crystalline Pm5Sn2H2 at its relaxed geometry. Source: the Alexandria database, functional PBE.

Geometry as CIF:
```
data_Pm5Sn2H2
_cell_length_a 12.341
_cell_length_b 5.256
_cell_length_c 6.981
_cell_angle_alpha 90.00
_cell_angle_beta 101.76
_cell_angle_gamma 90.00
_space_group_name_H-M_alt 'C 1 2/m 1'
_space_group_IT_number 12
loop_
_space_group_symop_operation_xyz
'x,y,z'
'-x,-y,-z'
'-x,y,-z'
'x,-y,z'
'x+1/2,y+1/2,z'
'-x+1/2,-y+1/2,-z'
'-x+1/2,y+1/2,-z'
'x+1/2,-y+1/2,z'
loop_
_atom_site_label
_atom_site_type_symbol
_atom_site_fract_x
_atom_site_fract_y
_atom_site_fract_z
Pm1 Pm 0.000 0.000 0.000
Pm2 Pm 0.146 0.000 0.550
Pm3 Pm 0.173 0.500 0.878
Sn1 Sn 0.089 0.500 0.297
H1 H 0.164 0.000 0.885
```

Output
E_tot ... -4.7591 eV per atom
DOS(E_F) ... 12.66 states/eV/cell



Record 18
Crystalline Pm3Sn2H2 at its relaxed geometry. Source: the Alexandria database, functional PBE.

Geometry as CIF:
```
data_Pm3Sn2H2
_cell_length_a 6.547
_cell_length_b 8.279
_cell_length_c 6.837
_cell_angle_alpha 90.00
_cell_angle_beta 119.65
_cell_angle_gamma 90.00
_space_group_name_H-M_alt 'P 1 21/c 1'
_space_group_IT_number 14
loop_
_space_group_symop_operation_xyz
'x,y,z'
'-x,-y,-z'
'-x,y+1/2,-z+1/2'
'x,-y+1/2,z+1/2'
loop_
_atom_site_label
_atom_site_type_symbol
_atom_site_fract_x
_atom_site_fract_y
_atom_site_fract_z
Pm1 Pm 0.000 0.000 0.000
Pm2 Pm 0.343 0.090 0.698
Sn1 Sn 0.229 0.730 0.885
H1 H 0.355 0.121 0.077
```

Output
E_tot ... -4.7225 eV per atom
DOS(E_F) ... 4.06 states/eV/cell



Record 19
Crystalline Pm2SnH3 at its relaxed geometry. Source: the Alexandria database, functional PBE.

Geometry as CIF:
```
data_Pm2SnH3
_cell_length_a 15.097
_cell_length_b 3.790
_cell_length_c 7.767
_cell_angle_alpha 90.00
_cell_angle_beta 112.42
_cell_angle_gamma 90.00
_space_group_name_H-M_alt 'C 1 2/m 1'
_space_group_IT_number 12
loop_
_space_group_symop_operation_xyz
'x,y,z'
'-x,-y,-z'
'-x,y,-z'
'x,-y,z'
'x+1/2,y+1/2,z'
'-x+1/2,-y+1/2,-z'
'-x+1/2,y+1/2,-z'
'x+1/2,-y+1/2,z'
loop_
_atom_site_label
_atom_site_type_symbol
_atom_site_fract_x
_atom_site_fract_y
_atom_site_fract_z
Pm1 Pm 0.031 0.000 0.276
Pm2 Pm 0.199 0.500 0.674
Sn1 Sn 0.133 0.500 0.032
H1 H 0.068 0.500 0.420
H2 H 0.093 0.000 0.616
H3 H 0.192 0.000 0.475
```

Output
E_tot ... -4.5528 eV per atom
DOS(E_F) ... 5.65 states/eV/cell